# 1
A relaxed O2F crystal. Source: Alexandria via LeMat-Bulk, functional PBE-GGA.

Geometry as POSCAR:
```
O2F
1.0
-1.200 -1.613 2.847
1.936 -3.444 -0.491
4.849 1.963 4.754
O F
4 2
Direct
0.601 0.294 0.705
0.819 0.378 0.566
0.732 0.807 0.124
0.627 0.533 0.161
0.100 0.040 0.441
0.043 0.805 0.912
```

Output
Formation energy without anion corrections, eV/atom: -0.081
Symmetry: P1 (1)
Crystal system: triclinic

***

# 2
A relaxed SrNdAgRh crystal. Source: Alexandria via LeMat-Bulk, functional PBE-GGA.

Geometry as POSCAR:
```
SrNdAgRh
1.0
5.209 0.000 0.000
2.604 4.511 0.000
2.604 1.504 4.253
Nd Ag Sr Rh
1 1 1 1
Direct
0.500 0.500 0.500
0.250 0.250 0.250
0.000 0.000 0.000
0.750 0.750 0.750
```

Output
Fermi-level density of states, states/eV per cell: 2.23
Symmetry: F-43m (216)
DFT formation energy, eV per atom: -0.305
Crystal system: cubic

***

# 3
A relaxed BaUAuSe4 crystal. Source: Alexandria via LeMat-Bulk, functional PBE-GGA.

Geometry as POSCAR:
```
BaUAuSe4
1.0
7.430 0.000 -0.205
0.000 5.896 0.000
-3.180 0.000 8.789
Se Ba U Au
8 2 2 2
Direct
0.460 0.750 0.134
0.540 0.250 0.866
0.429 0.750 0.582
0.957 0.015 0.291
0.571 0.250 0.418
0.043 0.515 0.709
0.957 0.485 0.291
0.043 0.985 0.709
0.743 0.750 0.942
0.257 0.250 0.058
0.726 0.750 0.447
0.274 0.250 0.553
0.227 0.750 0.269
0.773 0.250 0.731
```

Output
Fermi-level density of states, states/eV per cell: 14.97
Formation energy without anion corrections, eV/atom: -1.040
Symmetry: P2_1/m (11)
Crystal system: monoclinic

***

# 4
A relaxed UCoSi crystal. Source: Alexandria via LeMat-Bulk, functional PBE-GGA.

Geometry as POSCAR:
```
UCoSi
1.0
3.821 0.000 0.000
0.000 7.274 0.000
0.000 0.000 6.622
Si Co U
4 4 4
Direct
0.250 0.804 0.120
0.250 0.304 0.380
0.750 0.696 0.620
0.750 0.196 0.880
0.750 0.877 0.938
0.750 0.377 0.562
0.250 0.623 0.438
0.250 0.123 0.062
0.250 0.993 0.643
0.250 0.493 0.857
0.750 0.507 0.143
0.750 0.007 0.357
```

Output
Fermi-level density of states, states/eV per cell: 15.82
Formation energy without anion corrections, eV/atom: -0.516
Symmetry: Pnma (62)
Crystal system: orthorhombic

***

# 5
A relaxed LiSmPdAu crystal. Source: Alexandria via LeMat-Bulk, functional PBE-GGA.

Geometry as POSCAR:
```
LiSmPdAu
1.0
-4.501 1.855 0.233
-3.771 -2.524 -1.777
-3.281 -1.941 3.036
Au Pd Li Sm
1 1 1 1
Direct
0.000 0.000 0.000
0.500 0.500 0.500
0.750 0.750 0.750
0.250 0.250 0.250
```

Output
Fermi-level density of states, states/eV per cell: 2.90
Symmetry: F-43m (216)
DFT formation energy, eV per atom: -0.636
Crystal system: cubic

***

# 6
A relaxed Mg3VB crystal. Source: Alexandria via LeMat-Bulk, functional PBE-GGA.

Geometry as POSCAR:
```
Mg3VB
1.0
5.177 0.000 0.000
0.000 5.177 0.000
0.000 0.000 5.177
Mg B V
3 1 1
Direct
0.500 0.000 0.000
0.000 0.500 0.000
0.000 0.000 0.500
0.500 0.500 0.500
0.000 0.000 0.000
```

Output
Fermi-level density of states, states/eV per cell: 3.47
Symmetry: Pm-3m (221)
DFT formation energy, eV per atom: 1.742
Crystal system: cubic

***

# 7
A relaxed Ag2Se2F7 crystal. Source: Alexandria via LeMat-Bulk, functional PBE-GGA.

Geometry as POSCAR:
```
Ag2Se2F7
1.0
-2.417 3.476 -0.693
-3.641 -3.017 4.440
4.250 2.432 4.253
F Se Ag
7 2 2
Direct
0.895 0.351 0.351
0.722 0.856 0.460
0.105 0.649 0.649
0.278 0.540 0.144
0.278 0.144 0.540
0.500 0.000 0.000
0.722 0.460 0.856
0.707 0.679 0.679
0.293 0.321 0.321
0.000 0.856 0.144
0.000 0.144 0.856
```

Output
Fermi-level density of states, states/eV per cell: 3.64
Formation energy without anion corrections, eV/atom: -1.164
Symmetry: C2/m (12)
Crystal system: monoclinic

***

# 8
A relaxed NdYHgAu crystal. Source: Alexandria via LeMat-Bulk, functional PBE-GGA.

Geometry as POSCAR:
```
NdYHgAu
1.0
-2.956 1.555 4.073
-3.939 -3.049 1.711
0.401 -2.464 4.638
Y Hg Au Nd
1 1 1 1
Direct
0.750 0.750 0.750
0.000 0.000 0.000
0.500 0.500 0.500
0.250 0.250 0.250
```

Output
Fermi-level density of states, states/eV per cell: 3.35
Symmetry: F-43m (216)
DFT formation energy, eV per atom: -0.630
Crystal system: cubic

***

# 9
A relaxed As3ICl crystal. Source: Alexandria via LeMat-Bulk, functional PBE-GGA.

Geometry as POSCAR:
```
As3ICl
1.0
5.061 0.000 0.000
0.000 5.061 0.000
0.000 0.000 5.061
As I Cl
3 1 1
Direct
0.000 0.000 0.500
0.000 0.500 0.000
0.500 0.000 0.000
0.500 0.500 0.500
0.000 0.000 0.000
```

Output
Fermi-level density of states, states/eV per cell: 5.01
Formation energy without anion corrections, eV/atom: 1.115
Symmetry: Pm-3m (221)
Crystal system: cubic

***

# 10
A relaxed Rb2ZnCd2 crystal. Source: Alexandria via LeMat-Bulk, functional PBE-GGA.

Geometry as POSCAR:
```
Rb2ZnCd2
1.0
5.005 0.000 0.000
0.000 5.005 0.000
-2.502 -2.502 18.794
Rb Cd Zn
4 4 2
Direct
0.927 0.427 0.855
0.177 0.177 0.355
0.573 0.073 0.145
0.823 0.823 0.645
0.723 0.723 0.445
0.027 0.527 0.055
0.277 0.277 0.555
0.473 0.973 0.945
0.250 0.750 0.500
0.500 0.500 0.000
```

Output
Fermi-level density of states, states/eV per cell: 7.43
Symmetry: I4_1/amd (141)
DFT formation energy, eV per atom: 0.070
Crystal system: tetragonal

***

# 11
A relaxed LaCu2Ni crystal. Source: Alexandria via LeMat-Bulk, functional PBE-GGA.

Geometry as POSCAR:
```
LaCu2Ni
1.0
4.654 0.000 0.000
2.327 4.030 0.000
2.327 1.343 3.800
Cu La Ni
2 1 1
Direct
0.000 0.000 0.000
0.250 0.250 0.250
0.500 0.500 0.500
0.750 0.750 0.750
```

Output
Fermi-level density of states, states/eV per cell: 3.28
Symmetry: F-43m (216)
DFT formation energy, eV per atom: 0.037
Crystal system: cubic

***

# 12
A relaxed Er3TmSc2 crystal. Source: Alexandria via LeMat-Bulk, functional PBE-GGA.

Geometry as POSCAR:
```
Er3TmSc2
1.0
5.387 0.000 0.000
0.000 8.037 -3.045
0.000 -0.195 8.593
Er Tm Sc
6 2 4
Direct
0.993 0.094 0.094
0.493 0.624 0.112
0.493 0.906 0.906
0.993 0.888 0.376
0.993 0.376 0.888
0.493 0.112 0.624
0.993 0.719 0.719
0.493 0.281 0.281
0.993 0.511 0.298
0.993 0.298 0.511
0.493 0.489 0.702
0.493 0.702 0.489
```

Output
Fermi-level density of states, states/eV per cell: 22.07
Symmetry: Cmcm (63)
DFT formation energy, eV per atom: 0.306
Crystal system: orthorhombic